No. 1
Computed, not measured: CsScPdCl6 after structural relaxation at the PBE level of DFT.

Cell and atoms, written as CIF:
```
data_CsScPdCl6
_chemical_formula_sum 'Cs1 Sc1 Pd1 Cl6'
_cell_length_a 6.5963
_cell_length_b 6.5963
_cell_length_c 7.8749
_cell_angle_alpha 90.00
_cell_angle_beta 90.00
_cell_angle_gamma 120.00
_space_group_name_H-M_alt 'P 3 1 2'
_space_group_IT_number 149
loop_
_space_group_symop_operation_xyz
'x,y,z'
'-y,x-y,z'
'-x+y,-x,z'
'-y,-x,-z'
'-x+y,y,-z'
'x,x-y,-z'
loop_
_atom_site_label
_atom_site_fract_x
_atom_site_fract_y
_atom_site_fract_z
_atom_site_occupancy
Cs1 0.0000 0.0000 0.0000 1
Sc1 0.6667 0.3333 0.5000 1
Pd1 0.3333 0.6667 0.5000 1
Cl1 0.3747 0.0048 0.6831 1
```


No. 2
Computed, not measured: CsPdSeCl6 after structural relaxation at the PBE level of DFT.

Cell and atoms, written as CIF:
```
data_CsPdSeCl6
_chemical_formula_sum 'Cs1 Pd1 Se1 Cl6'
_cell_length_a 7.008
_cell_length_b 7.040
_cell_length_c 7.291
_cell_angle_alpha 96.04
_cell_angle_beta 96.32
_cell_angle_gamma 107.45
_space_group_name_H-M_alt 'P 1'
_space_group_IT_number 1
loop_
_space_group_symop_operation_xyz
'x,y,z'
loop_
_atom_site_label
_atom_site_fract_x
_atom_site_fract_y
_atom_site_fract_z
_atom_site_occupancy
Cs1 0.000 0.000 0.000 1
Pd1 0.307 0.692 0.501 1
Se1 0.637 0.361 0.499 1
Cl1 0.011 0.681 0.322 1
Cl2 0.322 0.986 0.681 1
Cl3 0.327 0.417 0.303 1
Cl4 0.583 0.669 0.698 1
Cl5 0.628 0.097 0.288 1
Cl6 0.904 0.368 0.709 1
```


No. 3
Computed, not measured: Cs2SmPdCl6 after structural relaxation at the PBE level of DFT.

Cell and atoms, written as CIF:
```
data_Cs2SmPdCl6
_chemical_formula_sum 'Cs4 Sm2 Pd2 Cl12'
_cell_length_a 7.817
_cell_length_b 7.817
_cell_length_c 10.395
_cell_angle_alpha 90.00
_cell_angle_beta 90.00
_cell_angle_gamma 90.00
_space_group_name_H-M_alt 'I 4/m m m'
_space_group_IT_number 139
_space_group_name_Hall '-I 4 2'
loop_
_atom_site_label
_atom_site_fract_x
_atom_site_fract_y
_atom_site_fract_z
_atom_site_occupancy
Cs1 0.000 0.500 0.250 1
Sm1 0.000 0.000 0.000 1
Pd1 0.000 0.000 0.500 1
Cl1 0.000 0.000 0.261 1
Cl2 0.244 0.244 0.000 1
```


No. 4
Computed, not measured: CsSmPdCl6 after structural relaxation at the PBE level of DFT.

Cell and atoms, written as CIF:
```
data_CsSmPdCl6
_chemical_formula_sum 'Cs2 Sm2 Pd2 Cl12'
_cell_length_a 7.324
_cell_length_b 10.872
_cell_length_c 8.160
_cell_angle_alpha 90.00
_cell_angle_beta 99.24
_cell_angle_gamma 90.00
_space_group_name_H-M_alt 'C 1 2 1'
_space_group_IT_number 5
loop_
_space_group_symop_operation_xyz
'x,y,z'
'-x,y,-z'
'x+1/2,y+1/2,z'
'-x+1/2,y+1/2,-z'
loop_
_atom_site_label
_atom_site_fract_x
_atom_site_fract_y
_atom_site_fract_z
_atom_site_occupancy
Cs1 0.000 0.000 0.000 1
Sm1 0.000 0.367 0.500 1
Pd1 0.000 0.732 0.500 1
Cl1 0.155 0.578 0.666 1
Cl2 0.165 0.252 0.764 1
Cl3 0.182 0.882 0.652 1
```


Number 1: total moment 2.0 μB per cell, E_form (uncorrected) -1.510 eV per atom. Number 2: total moment 0.9 μB per cell, E_form (uncorrected) -0.713 eV per atom. Number 3: total moment 2.0 μB per cell, E_form (uncorrected) -1.715 eV per atom. Number 4: total moment 0.1 μB per cell, E_form (uncorrected) -1.607 eV per atom.